PBE KHgSe2, optimized geometry; magnetization = 0.0 μB/f.u.; crystal system = trigonal; formation energy (no corrections) = -357.2 meV/atom; space group = No. 166; energy above the lowest structure with this stoichiometry = 85 meV/atom
1.0
2.885 1.665 6.325
-2.885 1.665 6.325
0.000 -3.331 6.325
K Hg Se
1 1 2
Cartesian
0.000 0.000 0.000
0.000 0.000 9.487
0.000 0.000 7.036
0.000 0.000 11.938

PBE KHg2Se, optimized geometry; magnetization = 0.0 μB/f.u.; crystal system = tetragonal; formation energy (no corrections) = -285.6 meV/atom; space group = No. 123; energy above the lowest structure with this stoichiometry = 110 meV/atom
1.0
4.535 0.000 0.000
0.000 4.535 0.000
0.000 0.000 5.464
K Hg Se
1 2 1
Cartesian
0.000 0.000 0.000
0.000 2.268 2.732
2.268 0.000 2.732
2.268 2.268 0.000